# Zn3Pd2Au2 PBE optimized geometry
data_Zn3Pd2Au2
_space_group_name_H-M_alt 'P 1'
_space_group_IT_number 1
_space_group_name_Hall 'P 1'
_cell_length_a 3.954
_cell_length_b 4.548
_cell_length_c 7.407
_cell_angle_alpha 82.50
_cell_angle_beta 74.61
_cell_angle_gamma 64.38
loop_
_atom_site_label
_atom_site_fract_x
_atom_site_fract_y
_atom_site_fract_z
Zn1 0.000 0.000 0.000
Zn2 0.494 0.262 0.749
Zn3 0.506 0.738 0.251
Pd1 0.257 0.364 0.122
Pd2 0.743 0.636 0.878
Au1 0.254 0.870 0.620
Au2 0.746 0.130 0.380
# - N(E_F) (states/eV/f.u.) = 2.07
# - SG = P-1 (2)
# - E_tot (Ha/atom) = -0.12140
# - energy above the most stable polymorph in this dataset (meV/atom) = 0